{
  "formula": "RbBaCu2",
  "functional": "PBE",
  "state": "relaxed",
  "cell": [[-4.395, 4.395, 3.984], [4.395, -4.395, 3.984], [4.395, 4.395, -3.984]],
  "species": ["Rb", "Rb", "Ba", "Ba", "Cu", "Cu", "Cu", "Cu"],
  "fractional_positions": [[0.000, 0.000, 0.000], [0.750, 0.250, 0.500], [0.250, 0.750, 0.500], [0.500, 0.500, 0.000], [0.139, 0.125, 0.514], [0.375, 0.861, 0.986], [0.611, 0.625, 0.486], [0.875, 0.389, 0.014]],
  "e_above_lowest_polymorph_kj_per_mol_atoms": 16.4,
  "e_tot_ev_per_cell": -18.33,
  "n_ef_per_ev_atom": 0.966,
  "e_form_mev_per_atom": 479
}

{
  "formula": "MnIrPb2",
  "functional": "PBE",
  "state": "relaxed",
  "cell": [[4.661, 0.000, 0.000], [0.000, 4.661, 0.000], [0.000, 0.000, 3.776]],
  "species": ["Mn", "Ir", "Pb", "Pb"],
  "fractional_positions": [[0.000, 0.000, 0.000], [0.500, 0.500, 0.000], [0.000, 0.500, 0.500], [0.500, 0.000, 0.500]],
  "e_above_lowest_polymorph_kj_per_mol_atoms": 32.7,
  "e_tot_ev_per_cell": -23.41,
  "n_ef_per_ev_atom": 0.628,
  "e_form_mev_per_atom": 510
}

{
  "formula": "KHgAu",
  "functional": "PBE",
  "state": "relaxed",
  "cell": [[4.979, 0.000, 0.000], [-2.489, 4.312, 0.000], [0.000, 0.000, 4.264]],
  "species": ["K", "Hg", "Au"],
  "fractional_positions": [[0.000, 0.000, 0.000], [0.333, 0.667, 0.500], [0.667, 0.333, 0.500]],
  "e_above_lowest_polymorph_kj_per_mol_atoms": 1.4,
  "e_tot_ev_per_cell": -5.53,
  "n_ef_per_ev_atom": 0.161,
  "e_form_mev_per_atom": -283
}